(1)
Here is MnRe2Tc at its PBEsol-relaxed geometry from the Alexandria database. Energies are from meta-GGA SCAN.

Results
- relative energy among the computed polymorphs (eV per atom) = 0.0549
- space-group type = No. 123

a b c (Å): 2.6850 2.6850 7.4642
angles (deg): 90.00 90.00 90.00
Sites, in units of the cell vectors:
Re1 0.0000 0.0000 0.2672
Re2 0.0000 0.0000 0.7328
Tc1 0.5000 0.5000 0.0000
Mn1 0.5000 0.5000 0.5000

(2)
Here is MnRe2Te at its PBEsol-relaxed geometry from the Alexandria database. Energies are from meta-GGA SCAN.

Results
- raw formation energy (eV/f.u.) = 3.17
- space-group type = No. 65

a b c (Å): 2.7537 2.7537 9.0917
angles (deg): 90.00 90.00 110.68
Sites, in units of the cell vectors:
Mn1 0.5000 0.5000 0.0000
Te1 0.5000 0.5000 0.5000
Re1 0.0000 0.0000 0.2111
Re2 0.0000 0.0000 0.7889

(3)
Here is MnRe2Te at its PBEsol-relaxed geometry from the Alexandria database. Energies are from meta-GGA SCAN.

Results
- raw formation energy (eV/f.u.) = 3.06
- space-group type = No. 216

a b c (Å): 4.4053 4.4053 4.4053
angles (deg): 60.00 60.00 60.00
Sites, in units of the cell vectors:
Mn1 0.5000 0.5000 0.5000
Te1 0.2500 0.2500 0.2500
Re1 0.0000 0.0000 0.0000
Re2 0.7500 0.7500 0.7500

Repeat the first record exactly.
Here is MnRe2Tc at its PBEsol-relaxed geometry from the Alexandria database. Energies are from meta-GGA SCAN.

Results
- relative energy among the computed polymorphs (eV per atom) = 0.0549
- space-group type = No. 123

a b c (Å): 2.6850 2.6850 7.4642
angles (deg): 90.00 90.00 90.00
Sites, in units of the cell vectors:
Re1 0.0000 0.0000 0.2672
Re2 0.0000 0.0000 0.7328
Tc1 0.5000 0.5000 0.0000
Mn1 0.5000 0.5000 0.5000